No. 1
Entry from Alexandria: an optimized crystal structure of Pu2SnRh (PBE-GGA).

Symmetry: No. 123
D(E_F): 12.6 states/eV/f.u.
E_form: -389 meV/atom
Final energy: -10.39 eV/atom
Total magnetization: 10.9 μB per cell

```
4
Lattice="3.880 0.000 0.000 0.000 3.880 0.000 0.000 0.000 5.967" Properties=species:S:1:pos:R:3 pbc="T T T"
Pu 0.000 0.000 1.377
Pu 0.000 0.000 4.590
Sn 1.940 1.940 2.984
Rh 1.940 1.940 0.000
```

***

No. 2
Entry from Alexandria: an optimized crystal structure of Pu2SnRh5 (PBE-GGA).

Symmetry: No. 55
D(E_F): 21.3 states/eV/f.u.
E_form: -515 meV/atom
Final energy: -9.19 eV/atom
Total magnetization: 15.7 μB per cell

```
16
Lattice="5.814 0.000 0.000 0.000 11.414 0.000 0.000 0.000 4.217" Properties=species:S:1:pos:R:3 pbc="T T T"
Pu 1.047 1.618 0.000
Pu 1.860 7.325 0.000
Pu 3.954 4.089 0.000
Pu 4.767 9.795 0.000
Sn 0.000 5.707 2.108
Sn 2.907 0.000 2.108
Rh 0.000 0.000 2.108
Rh 0.379 8.487 2.108
Rh 1.180 4.427 0.000
Rh 1.727 10.134 0.000
Rh 2.528 2.780 2.108
Rh 2.907 5.707 2.108
Rh 3.286 8.634 2.108
Rh 4.087 1.280 0.000
Rh 4.634 6.987 0.000
Rh 5.435 2.927 2.108
```

***

No. 3
Entry from Alexandria: an optimized crystal structure of PuSn2Rh4 (PBE-GGA).

Symmetry: No. 166
D(E_F): 10.3 states/eV/f.u.
E_form: -362 meV/atom
Final energy: -7.75 eV/atom
Total magnetization: 4.8 μB per cell

```
7
Lattice="2.219 1.281 7.812 -2.219 1.281 7.812 0.000 -2.562 7.812" Properties=species:S:1:pos:R:3 pbc="T T T"
Pu 0.000 0.000 0.000
Sn 0.000 0.000 5.596
Sn 0.000 0.000 17.838
Rh 0.000 0.000 2.960
Rh 0.000 0.000 9.000
Rh 0.000 0.000 14.434
Rh 0.000 0.000 20.475
```

***

No. 4
Entry from Alexandria: an optimized crystal structure of Pu4Sn8Rh (PBE-GGA).

Symmetry: No. 6
D(E_F): 37.5 states/eV/f.u.
E_form: -363 meV/atom
Final energy: -7.80 eV/atom
Total magnetization: 10.8 μB per cell

```
13
Lattice="4.677 0.000 0.000 0.000 4.566 0.000 -2.334 0.000 15.359" Properties=species:S:1:pos:R:3 pbc="T T T"
Pu 0.000 0.000 0.000
Pu 0.001 2.283 2.691
Pu 0.000 2.283 7.168
Pu -0.001 0.000 9.933
Sn 0.000 0.000 4.933
Sn -0.003 2.283 12.228
Sn 2.339 2.283 0.104
Sn 2.339 0.000 2.475
Sn 2.339 2.283 4.913
Sn 2.338 0.000 7.432
Sn 2.337 2.283 9.618
Sn 2.336 0.000 12.123
Rh -0.001 0.000 13.617
```

***

No. 5
Entry from Alexandria: an optimized crystal structure of Pu2SnRh6 (PBE-GGA).

Symmetry: No. 12
D(E_F): 14.2 states/eV/f.u.
E_form: -228 meV/atom
Final energy: -8.76 eV/atom
Total magnetization: 7.2 μB per cell

```
9
Lattice="5.886 -2.280 0.000 5.886 2.280 0.000 -4.396 0.000 6.081" Properties=species:S:1:pos:R:3 pbc="T T T"
Pu 1.301 0.000 0.994
Pu 6.076 0.000 5.087
Sn 3.688 0.000 3.040
Rh -1.241 0.000 1.864
Rh 1.089 0.000 3.871
Rh 3.910 0.000 0.312
Rh 3.466 0.000 5.769
Rh 6.288 0.000 2.210
Rh 8.618 0.000 4.217
```

***

No. 6
Entry from Alexandria: an optimized crystal structure of Pu2SnRh (PBE-GGA).

Symmetry: No. 166
D(E_F): 16.1 states/eV/f.u.
E_form: 39 meV/atom
Final energy: -9.97 eV/atom
Total magnetization: 11.2 μB per cell

```
4
Lattice="1.750 1.010 10.260 -1.750 1.010 10.260 0.000 -2.021 10.260" Properties=species:S:1:pos:R:3 pbc="T T T"
Pu 0.000 0.000 3.211
Pu 0.000 0.000 27.570
Sn 0.000 0.000 0.000
Rh 0.000 0.000 15.391
```

***

No. 7
Entry from Alexandria: an optimized crystal structure of TbPuSnRh (PBE-GGA).

Symmetry: No. 216
D(E_F): 9.0 states/eV/f.u.
E_form: -400 meV/atom
Final energy: -7.98 eV/atom
Total magnetization: 5.0 μB per cell

```
4
Lattice="0.000 3.625 3.625 3.625 0.000 3.625 3.625 3.625 0.000" Properties=species:S:1:pos:R:3 pbc="T T T"
Tb 0.000 0.000 0.000
Pu 3.625 3.625 3.625
Sn 1.813 1.813 1.813
Rh 5.438 5.438 5.438
```

***

No. 8
Entry from Alexandria: an optimized crystal structure of SrPu3Rh3 (PBE-GGA).

Symmetry: No. 223
D(E_F): 26.6 states/eV/f.u.
E_form: 112 meV/atom
Final energy: -9.42 eV/atom
Total magnetization: 31.1 μB per cell

```
14
Lattice="7.486 0.000 0.000 0.000 7.486 0.000 0.000 0.000 7.486" Properties=species:S:1:pos:R:3 pbc="T T T"
Sr 0.000 0.000 0.000
Sr 3.743 3.743 3.743
Pu 0.000 1.871 3.743
Pu 0.000 5.614 3.743
Pu 1.871 3.743 0.000
Pu 3.743 0.000 1.871
Pu 3.743 0.000 5.614
Pu 5.614 3.743 0.000
Rh 0.000 3.743 1.871
Rh 0.000 3.743 5.614
Rh 1.871 0.000 3.743
Rh 3.743 1.871 0.000
Rh 3.743 5.614 0.000
Rh 5.614 0.000 3.743
```

***

No. 9
Entry from Alexandria: an optimized crystal structure of SrPu2Rh2 (PBE-GGA).

Symmetry: No. 2
D(E_F): 14.7 states/eV/f.u.
E_form: -299 meV/atom
Final energy: -9.31 eV/atom
Total magnetization: 21.9 μB per cell

```
10
Lattice="6.140 0.000 0.000 -1.423 5.976 0.000 -2.179 -2.768 6.748" Properties=species:S:1:pos:R:3 pbc="T T T"
Sr 0.792 1.799 0.001
Sr 1.746 1.409 6.746
Pu -1.278 2.262 5.045
Pu 0.523 -0.233 3.375
Pu 2.014 3.441 3.372
Pu 3.815 0.947 1.703
Rh -0.718 2.991 2.575
Rh 0.799 4.899 1.096
Rh 1.739 -1.691 5.652
Rh 3.255 0.218 4.173
```

***

No. 10
Entry from Alexandria: an optimized crystal structure of Sr2PuRh2 (PBE-GGA).

Symmetry: No. 15
D(E_F): 9.6 states/eV/f.u.
E_form: -330 meV/atom
Final energy: -6.81 eV/atom
Total magnetization: 10.3 μB per cell

```
10
Lattice="5.325 -3.205 0.000 5.325 3.205 0.000 -1.430 0.000 7.890" Properties=species:S:1:pos:R:3 pbc="T T T"
Sr 1.393 0.758 1.164
Sr 0.678 -0.758 5.109
Sr 8.543 0.758 2.781
Sr 7.828 -0.758 6.726
Pu 4.968 0.574 1.972
Pu 4.253 -0.574 5.917
Rh 3.184 0.884 3.872
Rh 6.752 0.884 0.073
Rh 2.469 -0.884 7.817
Rh 6.037 -0.884 4.017
```

***

No. 11
Entry from Alexandria: an optimized crystal structure of SrPuRh (PBE-GGA).

Symmetry: No. 129
D(E_F): 8.5 states/eV/f.u.
E_form: -254 meV/atom
Final energy: -8.04 eV/atom
Offset from the most stable computed form: 0.000 eV/atom
Total magnetization: 10.6 μB per cell

```
6
Lattice="4.661 0.000 0.000 0.000 4.661 0.000 0.000 0.000 7.911" Properties=species:S:1:pos:R:3 pbc="T T T"
Sr 1.165 1.165 1.072
Sr 3.495 3.495 6.838
Pu 1.165 3.495 3.955
Pu 3.495 1.165 3.955
Rh 1.165 1.165 5.565
Rh 3.495 3.495 2.346
```

***

No. 12
Entry from Alexandria: an optimized crystal structure of SrPuRh (PBE-GGA).

Symmetry: No. 129
D(E_F): 9.6 states/eV/f.u.
E_form: -137 meV/atom
Final energy: -7.93 eV/atom
Offset from the most stable computed form: 0.117 eV/atom
Total magnetization: 10.7 μB per cell

```
6
Lattice="4.937 0.000 0.000 0.000 4.937 0.000 0.000 0.000 7.129" Properties=species:S:1:pos:R:3 pbc="T T T"
Sr 1.234 3.703 0.000
Sr 3.703 1.234 0.000
Pu 1.234 3.703 3.564
Pu 3.703 1.234 3.564
Rh 1.234 1.234 2.143
Rh 3.703 3.703 4.985
```

***

Repeat the sixth record exactly.
Entry from Alexandria: an optimized crystal structure of Pu2SnRh (PBE-GGA).

Symmetry: No. 166
D(E_F): 16.1 states/eV/f.u.
E_form: 39 meV/atom
Final energy: -9.97 eV/atom
Total magnetization: 11.2 μB per cell

```
4
Lattice="1.750 1.010 10.260 -1.750 1.010 10.260 0.000 -2.021 10.260" Properties=species:S:1:pos:R:3 pbc="T T T"
Pu 0.000 0.000 3.211
Pu 0.000 0.000 27.570
Sn 0.000 0.000 0.000
Rh 0.000 0.000 15.391
```